MgURu2: relaxed, PBE-GGA.

Lattice parameters (Å, degrees): 7.9508 7.9508 7.9508 24.36 24.36 24.36
Atoms (fractional coordinates):
Mg 0.0000 0.0000 0.0000
U 0.8331 0.8331 0.8331
Ru 0.2403 0.2403 0.2403
Ru 0.4259 0.4259 0.4259

Properties
**SG**: R3m, No. 160
**Mass density**: 10.3 g/cm3
**D(E_F)**: 0.7897 states/eV per atom
**ΔE_f**: -0.099 eV per atom
**Total magnetization**: 0.0 μB per cell